A plane-wave DFT calculation with PBE was carried out for an optimized crystal structure of LiTe2Ir.

a = 6.6151 Å, b = 6.6151 Å, c = 10.4092 Å
α = 90.00°, β = 90.00°, γ = 90.00°
Atoms (fractional coordinates):
Li (0.0000, 0.0000, 0.0000)
Li (0.0000, 0.5000, 0.2500)
Li (0.5000, 0.0000, 0.7500)
Li (0.5000, 0.5000, 0.5000)
Te (0.2184, 0.2500, 0.6250)
Te (0.2500, 0.7184, 0.8750)
Te (0.2500, 0.7816, 0.3750)
Te (0.2816, 0.2500, 0.1250)
Te (0.7184, 0.7500, 0.1250)
Te (0.7500, 0.2184, 0.3750)
Te (0.7500, 0.2816, 0.8750)
Te (0.7816, 0.7500, 0.6250)
Ir (0.0000, 0.0000, 0.5000)
Ir (0.0000, 0.5000, 0.7500)
Ir (0.5000, 0.0000, 0.2500)
Ir (0.5000, 0.5000, 0.0000)

Values from the calculation:
Uncorrected formation energy ... -0.1686 eV/atom
M_tot ... 0.0 μB per formula unit